Record 1
# TbPm4Nd | Alexandria | PBE-GGA | optimized geometry
data_TbPm4Nd
_chemical_formula_sum 'Tb1 Pm4 Nd1'
_space_group_name_H-M_alt 'P 1'
_space_group_IT_number 1
_cell_length_a 5.135
_cell_length_b 3.646
_cell_length_c 10.955
_cell_angle_alpha 90.00
_cell_angle_beta 90.04
_cell_angle_gamma 90.00
loop_
_space_group_symop_operation_xyz
'x,y,z'
loop_
_atom_site_label
_atom_site_fract_x
_atom_site_fract_y
_atom_site_fract_z
Tb1 0.000 0.000 0.000
Pm1 0.000 0.000 0.331
Pm2 0.000 0.000 0.669
Pm3 0.499 0.500 0.165
Pm4 0.501 0.500 0.835
Nd1 0.500 0.500 0.500
# Energy above the most stable polymorph in this dataset   0.00 eV/f.u.
# Energy of formation from the pure elements   0.02 eV/atom
# SG   No. 10

=====

Record 2
# Tb4PmNd4 | Alexandria | PBE-GGA | optimized geometry
data_Tb4PmNd4
_chemical_formula_sum 'Tb4 Pm1 Nd4'
_space_group_name_H-M_alt 'P 1'
_space_group_IT_number 1
_cell_length_a 6.273
_cell_length_b 6.273
_cell_length_c 10.882
_cell_angle_alpha 106.77
_cell_angle_beta 106.77
_cell_angle_gamma 48.27
loop_
_space_group_symop_operation_xyz
'x,y,z'
loop_
_atom_site_label
_atom_site_fract_x
_atom_site_fract_y
_atom_site_fract_z
Tb1 0.166 0.166 0.054
Tb2 0.169 0.169 0.725
Tb3 0.831 0.831 0.275
Tb4 0.834 0.834 0.946
Pm1 0.500 0.500 0.500
Nd1 0.166 0.166 0.388
Nd2 0.499 0.499 0.166
Nd3 0.501 0.501 0.834
Nd4 0.834 0.834 0.612
# Energy of formation from the pure elements   0.02 eV/atom
# SG   No. 12

=====

Record 3
# Tb8Pm3Nd3 | Alexandria | PBE-GGA | optimized geometry
data_Tb8Pm3Nd3
_chemical_formula_sum 'Tb8 Pm3 Nd3'
_space_group_name_H-M_alt 'P 1'
_space_group_IT_number 1
_cell_length_a 9.783
_cell_length_b 9.783
_cell_length_c 9.783
_cell_angle_alpha 146.06
_cell_angle_beta 112.67
_cell_angle_gamma 77.58
loop_
_space_group_symop_operation_xyz
'x,y,z'
loop_
_atom_site_label
_atom_site_fract_x
_atom_site_fract_y
_atom_site_fract_z
Tb1 0.057 0.897 0.160
Tb2 0.060 0.721 0.339
Tb3 0.263 0.103 0.160
Tb4 0.382 0.721 0.661
Tb5 0.618 0.279 0.339
Tb6 0.737 0.897 0.840
Tb7 0.940 0.279 0.661
Tb8 0.943 0.103 0.840
Pm1 0.314 0.314 0.000
Pm2 0.500 0.000 0.500
Pm3 0.686 0.686 0.000
Nd1 0.000 0.500 0.500
Nd2 0.303 0.500 0.803
Nd3 0.697 0.500 0.197
# Energy above the most stable polymorph in this dataset   0.05 eV/f.u.
# Energy of formation from the pure elements   0.11 eV/atom
# SG   No. 71

=====

Record 4
# Tb5PmNd | Alexandria | PBE-GGA | optimized geometry
data_Tb5PmNd
_chemical_formula_sum 'Tb10 Pm2 Nd2'
_space_group_name_H-M_alt 'P 1'
_space_group_IT_number 1
_cell_length_a 6.823
_cell_length_b 6.823
_cell_length_c 12.230
_cell_angle_alpha 106.96
_cell_angle_beta 106.96
_cell_angle_gamma 60.12
loop_
_space_group_symop_operation_xyz
'x,y,z'
loop_
_atom_site_label
_atom_site_fract_x
_atom_site_fract_y
_atom_site_fract_z
Tb1 0.082 0.358 0.752
Tb2 0.086 0.914 0.750
Tb3 0.152 0.694 0.001
Tb4 0.306 0.848 0.499
Tb5 0.358 0.082 0.252
Tb6 0.642 0.918 0.748
Tb7 0.694 0.152 0.501
Tb8 0.848 0.306 0.999
Tb9 0.914 0.086 0.250
Tb10 0.918 0.642 0.248
Pm1 0.474 0.526 0.250
Pm2 0.526 0.474 0.750
Nd1 0.000 0.500 0.500
Nd2 0.500 0.000 0.000
# Energy above the most stable polymorph in this dataset   0.00 eV/f.u.
# Energy of formation from the pure elements   0.18 eV/atom
# SG   No. 15

=====

Record 5
# TbPm2Nd8 | Alexandria | PBE-GGA | optimized geometry
data_TbPm2Nd8
_chemical_formula_sum 'Tb1 Pm2 Nd8'
_space_group_name_H-M_alt 'P 1'
_space_group_IT_number 1
_cell_length_a 9.687
_cell_length_b 9.687
_cell_length_c 8.203
_cell_angle_alpha 104.73
_cell_angle_beta 104.73
_cell_angle_gamma 31.04
loop_
_space_group_symop_operation_xyz
'x,y,z'
loop_
_atom_site_label
_atom_site_fract_x
_atom_site_fract_y
_atom_site_fract_z
Tb1 0.000 0.000 0.000
Pm1 0.273 0.273 0.364
Pm2 0.727 0.727 0.636
Nd1 0.091 0.091 0.453
Nd2 0.181 0.181 0.910
Nd3 0.364 0.364 0.819
Nd4 0.454 0.454 0.271
Nd5 0.546 0.546 0.729
Nd6 0.636 0.636 0.181
Nd7 0.819 0.819 0.090
Nd8 0.909 0.909 0.547
# Energy above the most stable polymorph in this dataset   0.00 eV/f.u.
# Energy of formation from the pure elements   0.01 eV/atom
# SG   No. 12

=====

Record 6
# Tb7PmNd4 | Alexandria | PBE-GGA | optimized geometry
data_Tb7PmNd4
_chemical_formula_sum 'Tb7 Pm1 Nd4'
_space_group_name_H-M_alt 'P 1'
_space_group_IT_number 1
_cell_length_a 6.775
_cell_length_b 6.775
_cell_length_c 12.880
_cell_angle_alpha 114.97
_cell_angle_beta 114.97
_cell_angle_gamma 52.28
loop_
_space_group_symop_operation_xyz
'x,y,z'
loop_
_atom_site_label
_atom_site_fract_x
_atom_site_fract_y
_atom_site_fract_z
Tb1 0.000 0.000 0.000
Tb2 0.132 0.132 0.497
Tb3 0.289 0.289 0.077
Tb4 0.433 0.433 0.682
Tb5 0.567 0.567 0.318
Tb6 0.711 0.711 0.923
Tb7 0.868 0.868 0.503
Pm1 0.500 0.500 0.000
Nd1 0.136 0.136 0.777
Nd2 0.270 0.270 0.328
Nd3 0.730 0.730 0.672
Nd4 0.864 0.864 0.223
# Energy above the most stable polymorph in this dataset   1.99 eV/f.u.
# Energy of formation from the pure elements   0.25 eV/atom
# SG   No. 12

=====

Record 7
# Tb7Pm2Nd3 | Alexandria | PBE-GGA | optimized geometry
data_Tb7Pm2Nd3
_chemical_formula_sum 'Tb7 Pm2 Nd3'
_space_group_name_H-M_alt 'P 1'
_space_group_IT_number 1
_cell_length_a 6.427
_cell_length_b 3.576
_cell_length_c 17.476
_cell_angle_alpha 90.00
_cell_angle_beta 90.02
_cell_angle_gamma 90.00
loop_
_space_group_symop_operation_xyz
'x,y,z'
loop_
_atom_site_label
_atom_site_fract_x
_atom_site_fract_y
_atom_site_fract_z
Tb1 0.000 0.000 0.000
Tb2 0.172 0.500 0.835
Tb3 0.245 0.500 0.499
Tb4 0.326 0.000 0.164
Tb5 0.674 0.000 0.836
Tb6 0.755 0.500 0.501
Tb7 0.828 0.500 0.165
Pm1 0.495 0.500 0.326
Pm2 0.505 0.500 0.674
Nd1 0.001 0.000 0.339
Nd2 0.500 0.500 0.000
Nd3 0.999 0.000 0.661
# Energy above the most stable polymorph in this dataset   0.00 eV/f.u.
# Energy of formation from the pure elements   0.07 eV/atom
# SG   No. 10

=====

Record 8
# Tb4PmNd15 | Alexandria | PBE-GGA | optimized geometry
data_Tb4PmNd15
_chemical_formula_sum 'Tb4 Pm1 Nd15'
_space_group_name_H-M_alt 'P 1'
_space_group_IT_number 1
_cell_length_a 5.177
_cell_length_b 5.177
_cell_length_c 25.789
_cell_angle_alpha 90.00
_cell_angle_beta 90.00
_cell_angle_gamma 90.00
loop_
_space_group_symop_operation_xyz
'x,y,z'
loop_
_atom_site_label
_atom_site_fract_x
_atom_site_fract_y
_atom_site_fract_z
Tb1 0.000 0.000 0.100
Tb2 0.000 0.000 0.299
Tb3 0.000 0.000 0.701
Tb4 0.000 0.000 0.900
Pm1 0.000 0.000 0.500
Nd1 0.000 0.500 0.000
Nd2 0.000 0.500 0.200
Nd3 0.000 0.500 0.399
Nd4 0.000 0.500 0.601
Nd5 0.000 0.500 0.800
Nd6 0.500 0.000 0.000
Nd7 0.500 0.000 0.200
Nd8 0.500 0.000 0.399
Nd9 0.500 0.000 0.601
Nd10 0.500 0.000 0.800
Nd11 0.500 0.500 0.100
Nd12 0.500 0.500 0.299
Nd13 0.500 0.500 0.500
Nd14 0.500 0.500 0.701
Nd15 0.500 0.500 0.900
# Energy of formation from the pure elements   0.01 eV/atom
# SG   No. 123

=====

Record 9
# Tb2Pm7Nd | Alexandria | PBE-GGA | optimized geometry
data_Tb2Pm7Nd
_chemical_formula_sum 'Tb2 Pm7 Nd1'
_space_group_name_H-M_alt 'P 1'
_space_group_IT_number 1
_cell_length_a 9.260
_cell_length_b 9.260
_cell_length_c 5.709
_cell_angle_alpha 90.00
_cell_angle_beta 90.00
_cell_angle_gamma 122.57
loop_
_space_group_symop_operation_xyz
'x,y,z'
loop_
_atom_site_label
_atom_site_fract_x
_atom_site_fract_y
_atom_site_fract_z
Tb1 0.204 0.796 0.000
Tb2 0.796 0.204 0.000
Pm1 0.000 0.000 0.000
Pm2 0.206 0.437 0.000
Pm3 0.274 0.726 0.500
Pm4 0.437 0.206 0.000
Pm5 0.563 0.794 0.000
Pm6 0.726 0.274 0.500
Pm7 0.794 0.563 0.000
Nd1 0.500 0.500 0.500
# Energy above the most stable polymorph in this dataset   2.61 eV/f.u.
# Energy of formation from the pure elements   0.65 eV/atom
# SG   No. 65

=====

Record 10
# TbPm4Nd | Alexandria | PBE-GGA | optimized geometry
data_TbPm4Nd
_chemical_formula_sum 'Tb1 Pm4 Nd1'
_space_group_name_H-M_alt 'P 1'
_space_group_IT_number 1
_cell_length_a 6.691
_cell_length_b 6.691
_cell_length_c 6.691
_cell_angle_alpha 60.00
_cell_angle_beta 60.00
_cell_angle_gamma 60.00
loop_
_space_group_symop_operation_xyz
'x,y,z'
loop_
_atom_site_label
_atom_site_fract_x
_atom_site_fract_y
_atom_site_fract_z
Tb1 0.000 0.000 0.000
Pm1 0.123 0.626 0.626
Pm2 0.626 0.123 0.626
Pm3 0.626 0.626 0.123
Pm4 0.626 0.626 0.626
Nd1 0.250 0.250 0.250
# Energy above the most stable polymorph in this dataset   1.45 eV/f.u.
# Energy of formation from the pure elements   0.26 eV/atom
# SG   No. 216